# CaZrP (GGA-PBE, optimized geometry)
# formation energy from the elements	-770	meV/atom
# size of the total moment	0.0	μB/f.u.
# E	-6.089	eV per atom
data_CaZrP
_cell_length_a 4.4789
_cell_length_b 4.4789
_cell_length_c 6.7170
_cell_angle_alpha 90.00
_cell_angle_beta 90.00
_cell_angle_gamma 90.00
_symmetry_space_group_name_H-M 'P 4/n m m'
_symmetry_Int_Tables_number 129
loop_
_symmetry_equiv_pos_as_xyz
'x,y,z'
'-x,-y,-z'
'-y+1/2,x,z'
'y+1/2,-x,-z'
'-x+1/2,-y+1/2,z'
'x+1/2,y+1/2,-z'
'y,-x+1/2,z'
'-y,x+1/2,-z'
'x+1/2,-y,-z'
'-x+1/2,y,z'
'-y,-x,-z'
'y,x,z'
'-x,y+1/2,-z'
'x,-y+1/2,z'
'y+1/2,x+1/2,-z'
'-y+1/2,-x+1/2,z'
loop_
_atom_site_label
_atom_site_fract_x
_atom_site_fract_y
_atom_site_fract_z
Ca1 0.2500 0.7500 0.0000
Zr1 0.2500 0.7500 0.5000
P1 0.2500 0.2500 0.2712